A relaxed structure of CaZn4Cu4, computed with PBE.

Lattice parameters (Å, degrees): 6.2662 6.2662 6.2662 97.02 97.02 139.07
With the nearest neighbours (Å) after each atom.
Positions (direct):
Ca 0.0000 0.0000 0.0000  4 Cu 3.32, 12 Zn 3.40-3.41
Zn 0.2287 0.3390 0.5677  5 Cu 2.45-2.69, 2 Zn 2.67
Zn 0.3390 0.7713 0.1104  5 Cu 2.45-2.69, 2 Zn 2.67
Zn 0.6610 0.2287 0.8896  5 Cu 2.45-2.69, 2 Zn 2.67
Zn 0.7713 0.6610 0.4323  5 Cu 2.45-2.69, 2 Zn 2.67
Cu 0.0910 0.6105 0.7014  1 Cu 2.38, 4 Zn 2.45-2.53
Cu 0.3895 0.0910 0.4805  1 Cu 2.38, 4 Zn 2.45-2.53
Cu 0.6105 0.9090 0.5195  1 Cu 2.38, 4 Zn 2.45-2.53
Cu 0.9090 0.3895 0.2986  1 Cu 2.38, 4 Zn 2.45-2.53

- Electronic total energy: -2.70 eV/atom
- Formation enthalpy at 0 K: -0.089 eV/atom
- Volume: 16.78 A^3/atom
- Total magnetic moment: 0.00 μB/atom

***

A relaxed structure of TiSb2RhI, computed with PBE.

Lattice parameters (Å, degrees): 5.2299 5.2299 5.2401 90.00 90.00 90.00
With the nearest neighbours (Å) after each atom.
Positions (direct):
Ti 0.0000 0.0000 0.0000  4 Sb 2.61, 2 I 2.62
Sb 0.0000 0.5000 0.0000  2 Ti 2.61
Sb 0.5000 0.0000 0.0000  2 Ti 2.61
Rh 0.5000 0.5000 0.5000  4 I 3.70, 8 Sb 3.70
I 0.0000 0.0000 0.5000  2 Ti 2.62

- Electronic total energy: -4.28 eV/atom
- Raw formation energy: 729 meV per atom
- Energy above the most stable polymorph in this dataset: 95 meV/atom
- Volume: 28.67 A^3/atom
- Total magnetic moment: 0.00 μB/atom

***

A relaxed structure of BaRe2Cl, computed with PBE.

Lattice parameters (Å, degrees): 7.3447 7.3447 3.2330 102.65 102.65 136.28
With the nearest neighbours (Å) after each atom.
Positions (direct):
Ba 0.0000 0.0000 0.0000  4 Cl 2.73-2.74
Re 0.0000 0.5000 0.5000  4 Re 2.73-2.74
Re 0.5000 0.0000 0.5000  4 Re 2.73-2.74
Cl 0.5000 0.5000 0.0000  4 Ba 2.73-2.74

- Electronic total energy: -6.47 eV/atom
- Raw formation energy: 692 meV per atom
- Energy above the most stable polymorph in this dataset: 579 meV/atom
- Volume: 24.37 A^3/atom
- Total magnetic moment: 0.27 μB/atom

***

A relaxed structure of YMg4Sb, computed with PBE.

Lattice parameters (Å, degrees): 5.9620 5.9620 5.9620 60.00 60.00 60.00
With the nearest neighbours (Å) after each atom.
Positions (direct):
Y 0.0000 0.0000 0.0000  12 Mg 3.49, 4 Sb 3.65
Mg 0.3745 0.3745 0.3745  6 Mg 2.97-2.99
Mg 0.3745 0.3745 0.8766  6 Mg 2.97-2.99
Mg 0.3745 0.8766 0.3745  6 Mg 2.97-2.99
Mg 0.8766 0.3745 0.3745  6 Mg 2.97-2.99
Sb 0.7500 0.7500 0.7500  12 Mg 3.50, 4 Y 3.65

- Electronic total energy: -2.86 eV/atom
- Raw formation energy: -34 meV per atom
- Volume: 24.97 A^3/atom
- Total magnetic moment: 0.00 μB/atom

***

A relaxed structure of HgSbOs3, computed with PBE.

Lattice parameters (Å, degrees): 4.8449 4.8449 4.8449 90.00 90.00 90.00
With the nearest neighbours (Å) after each atom.
Positions (direct):
Hg 0.0000 0.0000 0.0000  12 Os 3.43
Sb 0.5000 0.5000 0.5000  6 Os 2.42
Os 0.0000 0.5000 0.5000  2 Sb 2.42
Os 0.5000 0.0000 0.5000  2 Sb 2.42
Os 0.5000 0.5000 0.0000  2 Sb 2.42

- Electronic total energy: -5.24 eV/atom
- Raw formation energy: 2382 meV per atom
- Energy above the most stable polymorph in this dataset: 0 meV/atom
- Volume: 22.75 A^3/atom
- Total magnetic moment: 0.55 μB/atom

***

A relaxed structure of EuY2Tm, computed with PBE.

Lattice parameters (Å, degrees): 5.7434 5.7434 5.7434 60.00 60.00 60.00
With the nearest neighbours (Å) after each atom.
Positions (direct):
Eu 0.0000 0.0000 0.0000  8 Y 3.52
Y 0.2500 0.2500 0.2500  4 Tm 3.52, 4 Eu 3.52
Y 0.7500 0.7500 0.7500  4 Eu 3.52, 4 Tm 3.52
Tm 0.5000 0.5000 0.5000  8 Y 3.52

- Electronic total energy: -6.76 eV/atom
- Formation enthalpy at 0 K: 0.160 eV/atom
- Energy above the most stable polymorph in this dataset: 99 meV/atom
- Volume: 33.49 A^3/atom
- Total magnetic moment: 2.07 μB/atom

***

A relaxed structure of ReSbPCl2, computed with PBE.

Lattice parameters (Å, degrees): 4.8094 4.8094 4.7395 90.00 90.00 90.00
With the nearest neighbours (Å) after each atom.
Positions (direct):
Re 0.0000 0.0000 0.0000  2 P 2.37, 4 Cl 2.40
Sb 0.5000 0.5000 0.5000  8 Cl 3.38, 4 P 3.40
P 0.0000 0.0000 0.5000  2 Re 2.37
Cl 0.0000 0.5000 0.0000  2 Re 2.40
Cl 0.5000 0.0000 0.0000  2 Re 2.40

- Electronic total energy: -4.60 eV/atom
- Raw formation energy: 535 meV per atom
- Energy above the most stable polymorph in this dataset: 0 meV/atom
- Volume: 21.92 A^3/atom
- Total magnetic moment: 0.35 μB/atom

***

A relaxed structure of YVZn2Cl, computed with PBE.

Lattice parameters (Å, degrees): 5.6745 5.6745 5.0514 90.00 90.00 90.00
With the nearest neighbours (Å) after each atom.
Positions (direct):
Y 0.0000 0.0000 0.0000  2 Cl 2.53
V 0.5000 0.5000 0.5000  8 Zn 3.80, 4 Cl 4.01
Zn 0.0000 0.5000 0.0000  2 Y 2.84
Zn 0.5000 0.0000 0.0000  2 Y 2.84
Cl 0.0000 0.0000 0.5000  2 Y 2.53

- Electronic total energy: -3.35 eV/atom
- Raw formation energy: 648 meV per atom
- Volume: 32.53 A^3/atom
- Total magnetic moment: 0.89 μB/atom

***

A relaxed structure of TeAs2Rh, computed with PBE.

Lattice parameters (Å, degrees): 3.9723 3.9723 4.9729 90.00 90.00 90.00
With the nearest neighbours (Å) after each atom.
Positions (direct):
Te 0.0000 0.0000 0.0000  4 Rh 2.81
As 0.0000 0.5000 0.5000  4 As 2.81
As 0.5000 0.0000 0.5000  4 As 2.81
Rh 0.5000 0.5000 0.0000  4 Te 2.81

- Electronic total energy: -4.62 eV/atom
- Raw formation energy: 331 meV per atom
- Volume: 19.62 A^3/atom
- Total magnetic moment: 0.00 μB/atom

***

A relaxed structure of Co2ReTc, computed with PBE.

Lattice parameters (Å, degrees): 2.6046 3.7123 5.2045 90.00 90.00 90.00
With the nearest neighbours (Å) after each atom.
Positions (direct):
Co 0.0000 0.0000 0.2494  4 Co 2.60-2.61, 4 Re 2.61, 4 Tc 2.62
Co 0.0000 0.0000 0.7506  4 Co 2.60-2.61, 4 Re 2.61, 4 Tc 2.62
Re 0.5000 0.5000 0.0000  2 Tc 2.60, 2 Re 2.60, 8 Co 2.61
Tc 0.5000 0.5000 0.5000  2 Re 2.60, 2 Tc 2.60, 8 Co 2.62

- Electronic total energy: -9.19 eV/atom
- Formation enthalpy at 0 K: 0.062 eV/atom
- Energy above the most stable polymorph in this dataset: 123 meV/atom
- Volume: 12.58 A^3/atom
- Total magnetic moment: 0.15 μB/atom

***

A relaxed structure of ZrAlI2N, computed with PBE.

Lattice parameters (Å, degrees): 5.7558 5.7558 3.5139 90.00 90.00 90.00
With the nearest neighbours (Å) after each atom.
Positions (direct):
Zr 0.0000 0.0000 0.0000  8 I 3.37, 2 Zr 3.51
Al 0.5000 0.5000 0.5000  2 N 1.76
I 0.0000 0.5000 0.5000  2 Al 2.88
I 0.5000 0.0000 0.5000  2 Al 2.88
N 0.5000 0.5000 0.0000  2 Al 1.76

- Electronic total energy: -4.55 eV/atom
- Raw formation energy: 198 meV per atom
- Energy above the most stable polymorph in this dataset: 319 meV/atom
- Volume: 23.28 A^3/atom
- Total magnetic moment: 0.27 μB/atom

***

A relaxed structure of Sm2Er3Pb4, computed with PBE.

Lattice parameters (Å, degrees): 9.1873 9.1873 9.1873 147.81 138.14 53.76
With the nearest neighbours (Å) after each atom.
Positions (direct):
Sm 0.1683 0.1683 0.0000  4 Pb 3.05-3.29
Sm 0.8317 0.8317 0.0000  4 Pb 3.05-3.29
Er 0.0000 0.5000 0.5000  4 Pb 3.12
Er 0.3911 0.3911 0.0000  6 Pb 3.23-3.45, 1 Er 3.57
Er 0.6089 0.6089 0.0000  6 Pb 3.23-3.45, 1 Er 3.57
Pb 0.2704 0.7704 0.5000  2 Sm 3.05, 2 Er 3.23
Pb 0.2734 0.0000 0.2734  1 Pb 2.97, 2 Er 3.12, 2 Sm 3.29
Pb 0.7266 0.0000 0.7266  1 Pb 2.97, 2 Er 3.12, 2 Sm 3.29
Pb 0.7296 0.2296 0.5000  2 Sm 3.05, 2 Er 3.23

- Electronic total energy: -4.59 eV/atom
- Formation enthalpy at 0 K: -0.371 eV/atom
- Volume: 30.44 A^3/atom
- Total magnetic moment: 0.00 μB/atom

***

A relaxed structure of BaLaY2, computed with PBE.

Lattice parameters (Å, degrees): 3.7800 3.7800 10.8573 90.00 90.00 90.00
With the nearest neighbours (Å) after each atom.
Positions (direct):
Ba 0.0000 0.0000 0.0000  4 Ba 3.78, 8 Y 4.03
La 0.0000 0.0000 0.5000  8 Y 3.60, 4 La 3.78
Y 0.5000 0.5000 0.2780  4 La 3.60, 4 Y 3.78
Y 0.5000 0.5000 0.7220  4 La 3.60, 4 Y 3.78

- Electronic total energy: -4.79 eV/atom
- Formation enthalpy at 0 K: 0.152 eV/atom
- Energy above the most stable polymorph in this dataset: 18 meV/atom
- Volume: 38.78 A^3/atom
- Total magnetic moment: 0.00 μB/atom